1.
Here is a relaxed La7DyHo12 crystal from Alexandria via LeMat-Bulk. Energies are from PBE-GGA.

Lattice parameters (Å, degrees): 9.818 9.818 9.818 109.47 109.47 109.47
Sites, in units of the cell vectors:
1 La 0.000 0.000 0.500
2 La 0.000 0.500 0.000
3 La 0.000 0.500 0.500
4 La 0.500 0.000 0.000
5 La 0.500 0.000 0.500
6 La 0.500 0.500 0.000
7 La 0.500 0.500 0.500
8 Dy 0.000 0.000 0.000
9 Ho 0.000 0.246 0.754
10 Ho 0.000 0.754 0.246
11 Ho 0.246 0.000 0.754
12 Ho 0.246 0.246 0.492
13 Ho 0.246 0.492 0.246
14 Ho 0.246 0.754 0.000
15 Ho 0.492 0.246 0.246
16 Ho 0.508 0.754 0.754
17 Ho 0.754 0.000 0.246
18 Ho 0.754 0.246 0.000
19 Ho 0.754 0.508 0.754
20 Ho 0.754 0.754 0.508

SG   Im-3m, No. 229
ΔH_f (0 K)   60 kJ/mol of atoms
Magnetic moment   0.01 Bohr magnetons per cell
Total DFT energy (no corrections)   -4.0746 eV/atom
Volume   36.4 A^3/atom

2.
Here is a relaxed La8DyHo6 crystal from Alexandria via LeMat-Bulk. Energies are from PBE-GGA.

Lattice parameters (Å, degrees): 9.442 9.442 6.682 90.00 90.00 120.00
Sites, in units of the cell vectors:
1 La 0.044 0.293 0.332
2 La 0.249 0.956 0.332
3 La 0.293 0.249 0.668
4 La 0.333 0.667 0.380
5 La 0.667 0.333 0.620
6 La 0.707 0.751 0.332
7 La 0.751 0.044 0.668
8 La 0.956 0.707 0.668
9 Dy 0.000 0.000 0.000
10 Ho 0.098 0.437 0.849
11 Ho 0.339 0.902 0.849
12 Ho 0.437 0.339 0.151
13 Ho 0.563 0.661 0.849
14 Ho 0.661 0.098 0.151
15 Ho 0.902 0.563 0.151

SG   P-3, No. 147
ΔH_f (0 K)   16 kJ/mol of atoms
Magnetic moment   0.00 Bohr magnetons per cell
Total DFT energy (no corrections)   -4.6008 eV/atom
Volume   34.4 A^3/atom

3.
Here is a relaxed La3Dy8Ho crystal from Alexandria via LeMat-Bulk. Energies are from PBE-GGA.

Lattice parameters (Å, degrees): 8.428 8.428 8.428 116.85 116.85 95.55
Sites, in units of the cell vectors:
1 La 0.000 0.000 0.000
2 La 0.250 0.750 0.500
3 La 0.750 0.250 0.500
4 Dy 0.131 0.131 0.752
5 Dy 0.244 0.732 0.000
6 Dy 0.268 0.268 0.512
7 Dy 0.379 0.379 0.248
8 Dy 0.621 0.869 0.000
9 Dy 0.732 0.244 0.000
10 Dy 0.756 0.756 0.488
11 Dy 0.869 0.621 0.000
12 Ho 0.500 0.500 0.000

SG   I-42m, No. 121
ΔH_f (0 K)   58 kJ/mol of atoms
Magnetic moment   0.00 Bohr magnetons per cell
Total DFT energy (no corrections)   -4.0833 eV/atom
Volume   36.8 A^3/atom

4.
Here is a relaxed La2DyHo5 crystal from Alexandria via LeMat-Bulk. Energies are from PBE-GGA.

Lattice parameters (Å, degrees): 7.158 14.317 5.087 90.00 90.00 90.00
Sites, in units of the cell vectors:
1 La 0.249 0.125 0.000
2 La 0.251 0.625 0.000
3 La 0.749 0.375 0.000
4 La 0.751 0.875 0.000
5 Dy 0.000 0.500 0.500
6 Dy 0.500 0.000 0.500
7 Ho 0.000 0.000 0.500
8 Ho 0.001 0.750 0.500
9 Ho 0.249 0.375 0.000
10 Ho 0.251 0.875 0.000
11 Ho 0.499 0.250 0.500
12 Ho 0.500 0.500 0.500
13 Ho 0.501 0.750 0.500
14 Ho 0.749 0.125 0.000
15 Ho 0.751 0.625 0.000
16 Ho 0.999 0.250 0.500

SG   Pbam, No. 55
ΔH_f (0 K)   3 kJ/mol of atoms
Magnetic moment   0.00 Bohr magnetons per cell
Total DFT energy (no corrections)   -4.6343 eV/atom
Volume   32.6 A^3/atom
Polymorph energy (0 for the lowest one)   0.2 kJ per mole of atoms

5.
Here is a relaxed LaDy6Ho3 crystal from Alexandria via LeMat-Bulk. Energies are from PBE-GGA.

Lattice parameters (Å, degrees): 11.030 11.030 6.247 90.00 90.00 121.79
Sites, in units of the cell vectors:
1 La 0.211 0.789 0.500
2 La 0.789 0.211 0.000
3 Dy 0.015 0.438 0.654
4 Dy 0.049 0.951 0.208
5 Dy 0.286 0.374 0.797
6 Dy 0.312 0.688 0.933
7 Dy 0.374 0.286 0.297
8 Dy 0.438 0.015 0.154
9 Dy 0.562 0.985 0.654
10 Dy 0.626 0.714 0.797
11 Dy 0.688 0.312 0.433
12 Dy 0.714 0.626 0.297
13 Dy 0.951 0.049 0.708
14 Dy 0.985 0.562 0.154
15 Ho 0.077 0.292 0.247
16 Ho 0.292 0.077 0.747
17 Ho 0.386 0.614 0.399
18 Ho 0.614 0.386 0.899
19 Ho 0.708 0.923 0.247
20 Ho 0.923 0.708 0.747

SG   Cmc2_1, No. 36
ΔH_f (0 K)   15 kJ/mol of atoms
Magnetic moment   0.00 Bohr magnetons per cell
Total DFT energy (no corrections)   -4.4768 eV/atom
Volume   32.3 A^3/atom
Polymorph energy (0 for the lowest one)   0.0 kJ per mole of atoms

6.
Here is a relaxed LaDy2Ho2 crystal from Alexandria via LeMat-Bulk. Energies are from PBE-GGA.

Lattice parameters (Å, degrees): 12.892 12.892 12.892 164.04 164.04 22.64
Sites, in units of the cell vectors:
1 La 0.000 0.000 0.000
2 Dy 0.396 0.396 0.000
3 Dy 0.604 0.604 0.000
4 Ho 0.201 0.201 0.000
5 Ho 0.799 0.799 0.000

SG   I4/mmm, No. 139
ΔH_f (0 K)   3 kJ/mol of atoms
Magnetic moment   0.00 Bohr magnetons per cell
Total DFT energy (no corrections)   -4.6289 eV/atom
Volume   32.4 A^3/atom
Polymorph energy (0 for the lowest one)   0.0 kJ per mole of atoms

7.
Here is a relaxed La2Dy3Ho2 crystal from Alexandria via LeMat-Bulk. Energies are from PBE-GGA.

Lattice parameters (Å, degrees): 9.020 9.020 8.600 118.32 118.32 22.52
Sites, in units of the cell vectors:
1 La 0.067 0.067 0.218
2 La 0.933 0.933 0.782
3 Dy 0.288 0.288 0.374
4 Dy 0.500 0.500 0.500
5 Dy 0.712 0.712 0.626
6 Ho 0.347 0.347 0.035
7 Ho 0.653 0.653 0.965

SG   C2/m, No. 12
ΔH_f (0 K)   13 kJ/mol of atoms
Magnetic moment   0.00 Bohr magnetons per cell
Total DFT energy (no corrections)   -4.5564 eV/atom
Volume   33.5 A^3/atom
Polymorph energy (0 for the lowest one)   10.6 kJ per mole of atoms

8.
Here is a relaxed La2Dy3Ho3 crystal from Alexandria via LeMat-Bulk. Energies are from PBE-GGA.

Lattice parameters (Å, degrees): 8.995 8.995 16.807 90.00 90.00 156.94
Sites, in units of the cell vectors:
1 La 0.223 0.777 0.651
2 La 0.223 0.777 0.849
3 La 0.777 0.223 0.151
4 La 0.777 0.223 0.349
5 Dy 0.358 0.642 0.512
6 Dy 0.358 0.642 0.988
7 Dy 0.395 0.605 0.750
8 Dy 0.605 0.395 0.250
9 Dy 0.642 0.358 0.012
10 Dy 0.642 0.358 0.488
11 Ho 0.004 0.996 0.600
12 Ho 0.004 0.996 0.900
13 Ho 0.420 0.580 0.250
14 Ho 0.580 0.420 0.750
15 Ho 0.996 0.004 0.100
16 Ho 0.996 0.004 0.400

SG   Cmcm, No. 63
ΔH_f (0 K)   12 kJ/mol of atoms
Magnetic moment   0.00 Bohr magnetons per cell
Total DFT energy (no corrections)   -4.5465 eV/atom
Volume   33.3 A^3/atom
Polymorph energy (0 for the lowest one)   9.4 kJ per mole of atoms